PBE Pr2NdBr, optimized geometry; raw formation energy = -476 meV/atom; SG = P4/mmm; relative energy among the computed polymorphs = 9.3 kJ per mole of atoms
1.0
-3.281 0.443 -1.545
1.288 -1.377 -3.129
-2.588 -9.026 2.905
Pr Nd Br
2 1 1
Direct
0.000 0.000 0.234
0.000 0.000 0.766
0.500 0.500 0.500
0.500 0.500 0.000

=====

PBE TmTh2Cd8, optimized geometry; ΔH_f (0 K) = -0.102 eV/atom; SG = C2/m
1.0
-3.736 1.797 3.345
-4.632 -1.356 -4.478
3.392 -7.527 3.604
Cd Th Tm
8 2 1
Direct
0.695 0.194 0.389
0.746 0.486 0.000
0.254 0.514 0.000
0.305 0.806 0.611
0.115 0.897 0.240
0.885 0.103 0.760
0.875 0.658 0.760
0.125 0.342 0.240
0.307 0.307 0.613
0.693 0.693 0.387
0.500 0.000 0.000

=====

PBE Ga3Au7, optimized geometry; ΔH_f (0 K) = -0.112 eV/atom; SG = P6_3mc
1.0
5.720 0.000 0.000
0.000 8.627 0.000
0.000 -4.313 7.471
Au Ga
14 6
Direct
0.800 0.889 0.778
0.238 0.469 0.531
0.588 0.333 0.667
0.300 0.111 0.222
0.300 0.778 0.889
0.300 0.111 0.889
0.800 0.889 0.111
0.738 0.531 0.469
0.738 0.531 0.062
0.238 0.469 0.938
0.800 0.222 0.111
0.238 0.062 0.531
0.738 0.938 0.469
0.088 0.667 0.333
0.402 0.796 0.204
0.402 0.796 0.593
0.902 0.204 0.796
0.902 0.204 0.407
0.402 0.407 0.204
0.902 0.593 0.796

=====

PBE CeNdNiRh, optimized geometry; ΔH_f (0 K) = -0.425 eV/atom; SG = F-43m; relative energy among the computed polymorphs = 8.6 kJ per mole of atoms
1.0
4.943 0.000 0.000
2.471 4.280 0.000
2.471 1.427 4.036
Ce Rh Ni Nd
1 1 1 1
Direct
0.500 0.500 0.500
0.250 0.250 0.250
0.750 0.750 0.750
0.000 0.000 0.000

=====

no.,Fermi-level density of states (states/eV per cell)
1,3.905
2,6.786
3,7.768
4,7.598